DFT (PBE) results for a geometry-optimized RbSb2P2 structure.

Cell lengths 4.571, 4.571, 13.222 Å; angles 90.00, 90.00, 90.00 degrees
Fractional coordinates of all 10 atoms:
Rb: 0.000 0.000 0.000
Rb: 0.500 0.500 0.500
Sb: 0.000 0.500 0.250
Sb: 0.000 0.500 0.750
Sb: 0.500 0.000 0.250
Sb: 0.500 0.000 0.750
P: 0.000 0.000 0.422
P: 0.000 0.000 0.578
P: 0.500 0.500 0.078
P: 0.500 0.500 0.922

Results
ΔE to the lowest computed polymorph in eV per atom: 0.1688
Energy relative to the elements, uncorrected in eV/atom: 0.09
SG: No. 139
Mass density in g/cm³: 4.70
Final energy in eV per atom: -3.920